{
  "formula": "Pu3OsRh2",
  "functional": "PBE",
  "state": "relaxed",
  "e_form_ev_per_atom": 0.42,
  "dos_ef_per_ev_cell": 17.11,
  "vol_a3_per_atom": 16.43,
  "sg": "P4/mmm",
  "lattice": [[2.677, 0.000, 0.000], [0.000, 2.677, 0.000], [0.000, 0.000, 13.758]],
  "species": ["Pu", "Pu", "Pu", "Os", "Rh", "Rh"],
  "fractional_positions": [[0.000, 0.000, 0.000], [0.000, 0.000, 0.333], [0.000, 0.000, 0.667], [0.500, 0.500, 0.500], [0.500, 0.500, 0.166], [0.500, 0.500, 0.834]]
}